(1)
Compound: Sm2HgH
Source: the Alexandria database
Functional: PBE
Structure: optimized geometry

Symmetry: No. 62
Energy relative to the lowest polymorph listed for this composition, meV per atom: 0
DOS(E_F), states/eV/atom: 0.81

Structure (extended XYZ):
```
16
Lattice="-1.675 1.606 3.146 -0.010 -6.304 3.213 12.315 2.635 5.211" Properties=species:S:1:pos:R:3 pbc="T T T"
Sm 2.375 -1.785 3.390
Sm 2.931 -4.817 5.234
Sm -0.681 -3.157 4.893
Sm 4.316 1.063 5.399
Sm 8.255 -0.278 8.179
Sm 6.314 -3.125 6.171
Sm 11.310 1.095 6.677
Sm 7.699 2.754 6.336
H 4.939 1.290 3.185
H 0.375 -2.838 2.863
H 5.691 -3.352 8.384
H 10.255 0.775 8.707
Hg 10.326 -2.648 8.064
Hg 0.303 0.585 3.506
Hg 7.296 -0.146 5.173
Hg 3.334 -1.917 6.397
```

(2)
Compound: SnHg2H
Source: the Alexandria database
Functional: PBE
Structure: optimized geometry

Symmetry: No. 2
Energy relative to the lowest polymorph listed for this composition, meV per atom: 0
DOS(E_F), states/eV/atom: 0.23

Structure (extended XYZ):
```
8
Lattice="-1.150 -4.017 2.049 0.608 -5.234 -9.949 3.226 0.236 2.260" Properties=species:S:1:pos:R:3 pbc="T T T"
H 3.298 -4.853 -5.031
H -0.614 -4.162 -0.610
Hg 2.053 -3.171 -2.442
Hg 0.630 -5.844 -3.199
Hg 1.872 -7.782 -6.310
Hg 0.811 -1.233 0.670
Sn 1.527 -4.804 -5.947
Sn 1.157 -4.211 0.307
```

(3)
Compound: Sn3HgH
Source: the Alexandria database
Functional: PBE
Structure: optimized geometry

Symmetry: No. 221
Total energy, eV/atom: -2.86
DOS(E_F), states/eV/atom: 0.53

Structure (extended XYZ):
```
5
Lattice="4.829 0.000 0.000 0.000 4.829 0.000 0.000 0.000 4.829" Properties=species:S:1:pos:R:3 pbc="T T T"
Sn 2.415 0.000 0.000
Sn 0.000 2.415 0.000
Sn 0.000 0.000 2.415
Hg 2.415 2.415 2.415
H 0.000 0.000 0.000
```

(4)
Compound: SnHg2H
Source: the Alexandria database
Functional: PBE
Structure: optimized geometry

Symmetry: No. 225
Energy relative to the lowest polymorph listed for this composition, meV per atom: 307
DOS(E_F), states/eV/atom: 0.63

Structure (extended XYZ):
```
4
Lattice="0.000 3.505 3.505 3.505 0.000 3.505 3.505 3.505 0.000" Properties=species:S:1:pos:R:3 pbc="T T T"
Hg 5.257 5.257 5.257
Hg 1.752 1.752 1.752
Sn 3.505 3.505 3.505
H 0.000 0.000 0.000
```